Entry 1:
Density functional theory data (GGA-PBE) for a relaxed Ho4Th3Sc4 crystal.

Crystal system: orthorhombic
Space group: Amm2 (38)

abc: 5.4552 6.4475 10.2206
angles: 90.00 90.00 115.03
Last column: nearest neighbours and their distance in Å.
Sites, in units of the cell vectors:
1 Ho 0.6273 0.2546 0.5000  3 Sc 3.14-3.30, 2 Th 3.39
2 Ho 0.5588 0.1177 0.0000  4 Sc 3.03-3.21
3 Ho 0.0995 0.1990 0.7165  4 Sc 3.25-3.40, 4 Th 3.46-3.63, 2 Ho 3.53
4 Ho 0.0995 0.1990 0.2835  4 Sc 3.25-3.40, 4 Th 3.46-3.63, 2 Ho 3.53
5 Th 0.3955 0.7911 0.3011  4 Sc 3.28-3.40, 5 Ho 3.39-3.63, 1 Th 3.46
6 Th 0.3955 0.7911 0.6989  4 Sc 3.28-3.40, 5 Ho 3.39-3.63, 1 Th 3.46
7 Th 0.2606 0.5212 0.0000  5 Ho 3.46-3.61, 2 Th 3.46, 7 Sc 3.49-3.67
8 Sc 0.7596 0.5191 0.7857  2 Sc 3.10-3.33, 4 Ho 3.21-3.38, 2 Th 3.28
9 Sc 0.7596 0.5191 0.2143  2 Sc 3.10-3.33, 4 Ho 3.21-3.38, 2 Th 3.28
10 Sc 0.8957 0.7913 0.5000  3 Ho 3.14-3.25, 2 Sc 3.33, 4 Th 3.40
11 Sc 0.9469 0.8938 0.0000  2 Ho 3.03, 2 Sc 3.10

---

Entry 2:
Density functional theory data (GGA-PBE) for a relaxed Ho3Th2Sc crystal.

Crystal system: monoclinic
Space group: P2_1/m (11)

abc: 3.5317 9.8209 10.4827
angles: 90.49 90.00 90.00
Last column: nearest neighbours and their distance in Å.
Sites, in units of the cell vectors:
1 Ho 0.7500 0.1256 0.5841  3 Th 3.45-3.49, 6 Ho 3.49-3.53, 3 Sc 3.51
2 Ho 0.2500 0.8744 0.4159  3 Th 3.45-3.49, 6 Ho 3.49-3.53, 3 Sc 3.51
3 Ho 0.7500 0.6221 0.2511  7 Ho 3.49-3.55, 5 Th 3.49-3.57
4 Ho 0.2500 0.3779 0.7489  7 Ho 3.49-3.55, 5 Th 3.49-3.57
5 Ho 0.2500 0.3626 0.0833  2 Sc 3.41, 3 Th 3.47-3.48, 7 Ho 3.51-3.68
6 Ho 0.7500 0.6374 0.9167  2 Sc 3.41, 3 Th 3.47-3.48, 7 Ho 3.51-3.68
7 Th 0.2500 0.3717 0.4150  2 Sc 3.45, 6 Ho 3.48-3.50, 4 Th 3.53-3.54
8 Th 0.7500 0.6283 0.5850  2 Sc 3.45, 6 Ho 3.48-3.50, 4 Th 3.53-3.54
9 Th 0.7500 0.1165 0.9132  3 Sc 3.41-3.53, 4 Th 3.43-3.53, 5 Ho 3.45-3.57
10 Th 0.2500 0.8835 0.0868  3 Sc 3.41-3.53, 4 Th 3.43-3.53, 5 Ho 3.45-3.57
11 Sc 0.2500 0.8746 0.7502  5 Th 3.41-3.53, 5 Ho 3.41-3.51, 2 Sc 3.53
12 Sc 0.7500 0.1254 0.2498  5 Th 3.41-3.53, 5 Ho 3.41-3.51, 2 Sc 3.53

---

Entry 3:
Density functional theory data (GGA-PBE) for a relaxed HoTh2Sc9 crystal.

Crystal system: tetragonal
Space group: P4/mmm (123)

abc: 4.7068 4.7068 14.2151
angles: 90.00 90.00 90.00
Last column: nearest neighbours and their distance in Å.
Sites, in units of the cell vectors:
1 Ho 0.0000 0.0000 0.0000  12 Sc 3.33-3.35
2 Th 0.0000 0.0000 0.3335  12 Sc 3.33-3.34
3 Th 0.0000 0.0000 0.6665  12 Sc 3.33-3.34
4 Sc 0.5000 0.5000 0.0000  4 Ho 3.33, 8 Sc 3.35
5 Sc 0.5000 0.5000 0.3328  8 Sc 3.32-3.34, 4 Th 3.33
6 Sc 0.5000 0.5000 0.6672  8 Sc 3.32-3.34, 4 Th 3.33
7 Sc 0.5000 0.0000 0.1676  8 Sc 3.32-3.35, 2 Th 3.33, 2 Ho 3.35
8 Sc 0.5000 0.0000 0.5000  8 Sc 3.33-3.34, 4 Th 3.34
9 Sc 0.5000 0.0000 0.8324  8 Sc 3.32-3.35, 2 Th 3.33, 2 Ho 3.35
10 Sc 0.0000 0.5000 0.1676  8 Sc 3.32-3.35, 2 Th 3.33, 2 Ho 3.35
11 Sc 0.0000 0.5000 0.5000  8 Sc 3.33-3.34, 4 Th 3.34
12 Sc 0.0000 0.5000 0.8324  8 Sc 3.32-3.35, 2 Th 3.33, 2 Ho 3.35

---

Number 1: formation energy 0.15 eV/atom. Number 2: formation energy 0.03 eV/atom. Number 3: formation energy 0.04 eV/atom.